1.
3
Lattice="-1.293 2.169 3.867 1.293 -2.169 3.867 1.293 2.169 -3.867" Properties=species:S:1:pos:R:3 comment="MgCrTc | Alexandria via LeMat-Bulk | GGA-PBE | relaxed" n_ef_per_ev_atom=0.74 space_group="Imm2 (44)" e_form_mev_per_atom=378 pbc="T T T"
Mg 0.000 0.000 0.000
Cr 0.000 0.000 2.612
Tc 0.000 0.000 5.119


2.
5
Lattice="5.809 0.000 0.000 0.000 5.809 0.000 0.000 0.000 5.809" Properties=species:S:1:pos:R:3 comment="La3YHf | Alexandria via LeMat-Bulk | GGA-PBE | relaxed" n_ef_per_ev_atom=1.75 space_group="Pm-3m (221)" e_form_mev_per_atom=578 pbc="T T T"
La 0.000 0.000 2.904
La 0.000 2.904 0.000
La 2.904 0.000 0.000
Y 2.904 2.904 2.904
Hf 0.000 0.000 0.000


3.
8
Lattice="5.802 0.000 0.000 0.000 3.386 0.000 -1.947 0.000 5.489" Properties=species:S:1:pos:R:3 comment="DyU2NbN4 | Alexandria via LeMat-Bulk | GGA-PBE | relaxed" n_ef_per_ev_atom=1.15 space_group="P2/m (10)" raw_formation_energy_kj_per_mol_fu=-1040 pbc="T T T"
Dy 0.000 0.000 0.000
U 1.928 0.000 2.744
U 2.901 1.693 0.000
Nb -0.973 1.693 2.744
N -0.026 0.000 4.041
N 0.945 1.693 1.440
N 2.910 1.693 4.049
N 3.881 0.000 1.448


Please write out number 2 again, unchanged.
5
Lattice="5.809 0.000 0.000 0.000 5.809 0.000 0.000 0.000 5.809" Properties=species:S:1:pos:R:3 comment="La3YHf | Alexandria via LeMat-Bulk | GGA-PBE | relaxed" n_ef_per_ev_atom=1.75 space_group="Pm-3m (221)" e_form_mev_per_atom=578 pbc="T T T"
La 0.000 0.000 2.904
La 0.000 2.904 0.000
La 2.904 0.000 0.000
Y 2.904 2.904 2.904
Hf 0.000 0.000 0.000